Density functional theory data (PBE-GGA) for a relaxed Al2InSi crystal.

Cell: 8.879 2.958 6.066 Å, 90.00 98.06 90.00°
Space group Cm (No. 8)
Unique sites:
Al: 0.000 0.000 0.000 [2 per cell]
Al: 0.244 0.500 0.223 [2 per cell]
In: 0.244 0.000 0.715 [2 per cell]
Si: 0.483 0.000 0.381 [2 per cell]

Calculated values
Theoretical density ... 4.14 Mg/m³
Offset from the most stable computed form ... 54 meV/atom
Formation energy without anion corrections ... 0.241 eV per atom

=====

Density functional theory data (PBE-GGA) for a relaxed Al4InSi crystal.

Cell: 7.655 7.655 7.655 Å, 90.00 90.00 90.00°
Space group F-43m (No. 216)
Unique sites:
Al: 0.124 0.124 0.376 [16 per cell]
In: 0.000 0.000 0.000 [4 per cell]
Si: 0.250 0.250 0.750 [4 per cell]

Calculated values
Theoretical density ... 3.71 Mg/m³
Formation energy without anion corrections ... 0.297 eV per atom

=====

Density functional theory data (PBE-GGA) for a relaxed AlInSi2 crystal.

Cell: 3.107 3.350 7.157 Å, 90.00 90.00 90.00°
Space group Pmm2 (No. 25)
Unique sites:
Al: 0.000 0.000 0.000 [1 per cell]
In: 0.500 0.500 0.308 [1 per cell]
Si: 0.000 0.000 0.621 [1 per cell]
Si: 0.500 0.500 0.783 [1 per cell]

Calculated values
Theoretical density ... 4.41 Mg/m³
Offset from the most stable computed form ... 15 meV/atom
Formation energy without anion corrections ... 0.293 eV per atom

=====

Density functional theory data (PBE-GGA) for a relaxed TaAlInSi2 crystal.

Cell: 4.933 4.933 4.906 Å, 90.00 90.00 90.00°
Space group P4/mmm (No. 123)
Unique sites:
Ta: 0.000 0.000 0.000 [1 per cell]
Al: 0.500 0.500 0.000 [1 per cell]
In: 0.500 0.500 0.500 [1 per cell]
Si: 0.000 0.500 0.500 [2 per cell]

Calculated values
Theoretical density ... 5.27 Mg/m³
Formation energy without anion corrections ... 1.795 eV per atom

=====

no.,total magnetic moment (μB/cell)
1,0.0
2,0.0
3,0.0
4,0.0